one:
ZrTcOF2: relaxed, PBE.

## Properties
Crystal system ... tetragonal
Total magnetic moment ... 0.1547 μB per atom

Geometry as CIF:
```
data_ZrTcOF2
_cell_length_a 4.464
_cell_length_b 4.464
_cell_length_c 3.612
_cell_angle_alpha 90.00
_cell_angle_beta 90.00
_cell_angle_gamma 90.00
_symmetry_space_group_name_H-M 'P 4/m m m'
_symmetry_Int_Tables_number 123
_symmetry_space_group_name_Hall '-P 4 2'
loop_
_atom_site_label
_atom_site_fract_x
_atom_site_fract_y
_atom_site_fract_z
Zr1 0.000 0.000 0.000
Tc1 0.500 0.500 0.000
O1 0.500 0.500 0.500
F1 0.000 0.500 0.500
```


two:
ZrTcOF2: relaxed, PBE.

## Properties
Crystal system ... tetragonal
Total magnetic moment ... 0.7222 μB per atom

Geometry as CIF:
```
data_ZrTcOF2
_cell_length_a 4.343
_cell_length_b 4.343
_cell_length_c 4.124
_cell_angle_alpha 90.00
_cell_angle_beta 90.00
_cell_angle_gamma 90.00
_symmetry_space_group_name_H-M 'P 4/m m m'
_symmetry_Int_Tables_number 123
_symmetry_space_group_name_Hall '-P 4 2'
loop_
_atom_site_label
_atom_site_fract_x
_atom_site_fract_y
_atom_site_fract_z
Zr1 0.000 0.000 0.000
Tc1 0.500 0.500 0.500
O1 0.000 0.000 0.500
F1 0.000 0.500 0.000
```


three:
ZrTcOF2: relaxed, PBE.

## Properties
Crystal system ... tetragonal
Total magnetic moment ... 0.3554 μB per atom

Geometry as CIF:
```
data_ZrTcOF2
_cell_length_a 4.390
_cell_length_b 4.390
_cell_length_c 3.761
_cell_angle_alpha 90.00
_cell_angle_beta 90.00
_cell_angle_gamma 90.00
_symmetry_space_group_name_H-M 'P 4/m m m'
_symmetry_Int_Tables_number 123
_symmetry_space_group_name_Hall '-P 4 2'
loop_
_atom_site_label
_atom_site_fract_x
_atom_site_fract_y
_atom_site_fract_z
Zr1 0.000 0.000 0.000
Tc1 0.500 0.500 0.500
O1 0.500 0.500 0.000
F1 0.000 0.500 0.500
```


Taking the most stable structure as the zero point, the relative energies in eV/atom are one 0.774; two 0.000; three 0.585.


one:
Te2OF: relaxed, PBE.

## Properties
Crystal system ... cubic
Total magnetic moment ... 0.0000 μB per atom

Geometry as CIF:
```
data_Te2OF
_cell_length_a 6.393
_cell_length_b 6.393
_cell_length_c 6.393
_cell_angle_alpha 90.00
_cell_angle_beta 90.00
_cell_angle_gamma 90.00
_symmetry_space_group_name_H-M 'F m -3 m'
_symmetry_Int_Tables_number 225
_symmetry_space_group_name_Hall '-F 4 2 3'
loop_
_atom_site_label
_atom_site_fract_x
_atom_site_fract_y
_atom_site_fract_z
Te1 0.250 0.250 0.250
O1 0.000 0.000 0.000
F1 0.000 0.000 0.500
```


two:
Te2OF: relaxed, PBE.

## Properties
Crystal system ... tetragonal
Total magnetic moment ... 0.0000 μB per atom

Geometry as CIF:
```
data_Te2OF
_cell_length_a 4.616
_cell_length_b 4.616
_cell_length_c 15.059
_cell_angle_alpha 90.00
_cell_angle_beta 90.00
_cell_angle_gamma 90.00
_symmetry_space_group_name_H-M 'I -4 2 d'
_symmetry_Int_Tables_number 122
_symmetry_space_group_name_Hall 'I -4 2bw'
loop_
_atom_site_label
_atom_site_fract_x
_atom_site_fract_y
_atom_site_fract_z
Te1 0.179 0.250 0.125
O1 0.000 0.000 0.000
F1 0.000 0.000 0.500
```


three:
Te2OF: relaxed, PBE.

## Properties
Crystal system ... trigonal
Total magnetic moment ... 0.0000 μB per atom

Geometry as CIF:
```
data_Te2OF
_cell_length_a 3.2777
_cell_length_b 3.2777
_cell_length_c 24.3777
_cell_angle_alpha 90.00
_cell_angle_beta 90.00
_cell_angle_gamma 120.00
_symmetry_space_group_name_H-M 'R -3 m'
_symmetry_Int_Tables_number 166
_symmetry_space_group_name_Hall '-R 3 2"'
loop_
_atom_site_label
_atom_site_fract_x
_atom_site_fract_y
_atom_site_fract_z
Te1 0.0000 0.0000 0.0810
O1 0.0000 0.0000 0.0000
F1 0.0000 0.0000 0.5000
```


Taking the most stable structure as the zero point, the relative energies in eV/atom are one 0.502; two 0.045; three 0.000.


one:
ZnTeOF2: relaxed, PBE.

## Properties
Crystal system ... tetragonal
Total magnetic moment ... 0.0000 μB per atom

Geometry as CIF:
```
data_ZnTeOF2
_cell_length_a 4.605
_cell_length_b 4.605
_cell_length_c 4.078
_cell_angle_alpha 90.00
_cell_angle_beta 90.00
_cell_angle_gamma 90.00
_symmetry_space_group_name_H-M 'P 4/m m m'
_symmetry_Int_Tables_number 123
_symmetry_space_group_name_Hall '-P 4 2'
loop_
_atom_site_label
_atom_site_fract_x
_atom_site_fract_y
_atom_site_fract_z
Zn1 0.000 0.000 0.000
Te1 0.500 0.500 0.500
O1 0.500 0.500 0.000
F1 0.000 0.500 0.500
```


two:
ZnTeOF2: relaxed, PBE.

## Properties
Crystal system ... tetragonal
Total magnetic moment ... 0.1982 μB per atom

Geometry as CIF:
```
data_ZnTeOF2
_cell_length_a 3.854
_cell_length_b 3.854
_cell_length_c 4.837
_cell_angle_alpha 90.00
_cell_angle_beta 90.00
_cell_angle_gamma 90.00
_symmetry_space_group_name_H-M 'P 4/m m m'
_symmetry_Int_Tables_number 123
_symmetry_space_group_name_Hall '-P 4 2'
loop_
_atom_site_label
_atom_site_fract_x
_atom_site_fract_y
_atom_site_fract_z
Zn1 0.000 0.000 0.000
Te1 0.500 0.500 0.500
O1 0.000 0.000 0.500
F1 0.000 0.500 0.000
```


Taking the most stable structure as the zero point, the relative energies in eV/atom are one 0.143; two 0.000.


one:
ZrTeOF2: relaxed, PBE.

## Properties
Crystal system ... tetragonal
Total magnetic moment ... 0.3997 μB per atom

Geometry as CIF:
```
data_ZrTeOF2
_cell_length_a 4.487
_cell_length_b 4.487
_cell_length_c 4.113
_cell_angle_alpha 90.00
_cell_angle_beta 90.00
_cell_angle_gamma 90.00
_symmetry_space_group_name_H-M 'P 4/m m m'
_symmetry_Int_Tables_number 123
_symmetry_space_group_name_Hall '-P 4 2'
loop_
_atom_site_label
_atom_site_fract_x
_atom_site_fract_y
_atom_site_fract_z
Zr1 0.000 0.000 0.000
Te1 0.500 0.500 0.500
O1 0.000 0.000 0.500
F1 0.000 0.500 0.000
```


two:
ZrTeOF2: relaxed, PBE.

## Properties
Crystal system ... tetragonal
Total magnetic moment ... 0.3884 μB per atom

Geometry as CIF:
```
data_ZrTeOF2
_cell_length_a 4.814
_cell_length_b 4.814
_cell_length_c 4.071
_cell_angle_alpha 90.00
_cell_angle_beta 90.00
_cell_angle_gamma 90.00
_symmetry_space_group_name_H-M 'P 4/m m m'
_symmetry_Int_Tables_number 123
_symmetry_space_group_name_Hall '-P 4 2'
loop_
_atom_site_label
_atom_site_fract_x
_atom_site_fract_y
_atom_site_fract_z
Zr1 0.000 0.000 0.000
Te1 0.500 0.500 0.500
O1 0.500 0.500 0.000
F1 0.000 0.500 0.500
```


Taking the most stable structure as the zero point, the relative energies in eV/atom are one 0.000; two 1.534.


one:
Ti2OF: relaxed, PBE.

## Properties
Crystal system ... cubic
Total magnetic moment ... 0.0000 μB per atom

Geometry as CIF:
```
data_Ti2OF
_cell_length_a 5.477
_cell_length_b 5.477
_cell_length_c 5.477
_cell_angle_alpha 90.00
_cell_angle_beta 90.00
_cell_angle_gamma 90.00
_symmetry_space_group_name_H-M 'F m -3 m'
_symmetry_Int_Tables_number 225
_symmetry_space_group_name_Hall '-F 4 2 3'
loop_
_atom_site_label
_atom_site_fract_x
_atom_site_fract_y
_atom_site_fract_z
Ti1 0.250 0.250 0.250
O1 0.000 0.000 0.000
F1 0.000 0.000 0.500
```


two:
Ti2OF: relaxed, PBE.

## Properties
Crystal system ... tetragonal
Total magnetic moment ... 0.2500 μB per atom

Geometry as CIF:
```
data_Ti2OF
_cell_length_a 4.772
_cell_length_b 4.772
_cell_length_c 9.771
_cell_angle_alpha 90.00
_cell_angle_beta 90.00
_cell_angle_gamma 90.00
_symmetry_space_group_name_H-M 'I -4 2 d'
_symmetry_Int_Tables_number 122
_symmetry_space_group_name_Hall 'I -4 2bw'
loop_
_atom_site_label
_atom_site_fract_x
_atom_site_fract_y
_atom_site_fract_z
Ti1 0.203 0.250 0.125
O1 0.000 0.000 0.000
F1 0.000 0.000 0.500
```


Taking the most stable structure as the zero point, the relative energies in eV/atom are one 0.387; two 0.000.


one:
TiTlOF2: relaxed, PBE.

## Properties
Crystal system ... tetragonal
Total magnetic moment ... 0.2000 μB per atom

Geometry as CIF:
```
data_TiTlOF2
_cell_length_a 4.318
_cell_length_b 4.318
_cell_length_c 3.877
_cell_angle_alpha 90.00
_cell_angle_beta 90.00
_cell_angle_gamma 90.00
_symmetry_space_group_name_H-M 'P 4/m m m'
_symmetry_Int_Tables_number 123
_symmetry_space_group_name_Hall '-P 4 2'
loop_
_atom_site_label
_atom_site_fract_x
_atom_site_fract_y
_atom_site_fract_z
Ti1 0.000 0.000 0.000
Tl1 0.500 0.500 0.500
O1 0.000 0.000 0.500
F1 0.000 0.500 0.000
```


two:
TiTlOF2: relaxed, PBE.

## Properties
Crystal system ... tetragonal
Total magnetic moment ... 0.4957 μB per atom

Geometry as CIF:
```
data_TiTlOF2
_cell_length_a 4.578
_cell_length_b 4.578
_cell_length_c 4.298
_cell_angle_alpha 90.00
_cell_angle_beta 90.00
_cell_angle_gamma 90.00
_symmetry_space_group_name_H-M 'P 4/m m m'
_symmetry_Int_Tables_number 123
_symmetry_space_group_name_Hall '-P 4 2'
loop_
_atom_site_label
_atom_site_fract_x
_atom_site_fract_y
_atom_site_fract_z
Ti1 0.000 0.000 0.000
Tl1 0.500 0.500 0.500
O1 0.500 0.500 0.000
F1 0.000 0.500 0.500
```


Taking the most stable structure as the zero point, the relative energies in eV/atom are one 0.000; two 1.651.